No. 1
First-principles (PBE) data for an optimized crystal structure of Sc4NiBr, as listed in the Alexandria database.

The space-group type is F-43m (216). Its formation energy from raw total energies is 0.518 eV/atom. The raw total energy is -4.946 eV per atom.

Unit cell a=5.821 b=5.821 c=5.821 alpha=60.00 beta=60.00 gamma=60.00
Sites, in units of the cell vectors:
Sc 0.880 0.373 0.373
Sc 0.373 0.373 0.880
Sc 0.373 0.880 0.373
Sc 0.373 0.373 0.373
Ni 0.000 0.000 0.000
Br 0.750 0.750 0.750

=====

No. 2
First-principles (PBE) data for an optimized crystal structure of LaWAu2, as listed in the Alexandria database.

The space-group type is P4/mmm (123). The raw total energy is -5.975 eV per atom. Its formation energy is 0.1338 eV per atom.

Unit cell a=3.026 b=3.026 c=8.786 alpha=90.00 beta=90.00 gamma=90.00
Sites, in units of the cell vectors:
Au 0.000 0.000 0.965
Au 0.000 0.000 0.535
La 0.500 0.500 0.250
W 0.500 0.500 0.750

=====

No. 3
First-principles (PBE) data for an optimized crystal structure of Ho2Er2Co, as listed in the Alexandria database.

The space-group type is C2/m (12). The raw total energy is -5.160 eV per atom. Its formation energy is -0.0823 eV per atom.

Unit cell a=7.313 b=6.781 c=7.844 alpha=72.18 beta=55.42 gamma=57.37
Sites, in units of the cell vectors:
Ho 0.561 0.452 0.257
Ho 0.987 0.452 0.743
Ho 0.439 0.548 0.743
Ho 0.013 0.548 0.257
Er 0.164 0.000 0.109
Er 0.836 0.000 0.891
Er 0.646 0.000 0.597
Er 0.354 0.000 0.403
Co 0.880 0.239 0.500
Co 0.120 0.761 0.500

=====

> Number 1 is which compound?

Sc4NiBr